The following is a GGA-PBE calculation of a relaxed CaCoRh crystal, from Alexandria via LeMat-Bulk.

a b c (Å): 4.0217 4.0217 4.3231
angles (deg): 90.00 90.00 120.00
Last column: nearest neighbours and their distance in Å.
Atoms (fractional coordinates):
Co1 0.3333 0.6667 0.5000  3 Rh 2.32
Ca1 0.0000 0.0000 0.0000  6 Rh 3.17, 6 Co 3.17
Rh1 0.6667 0.3333 0.4998  3 Co 2.32

N(E_F)   2.3 states/eV/cell
Energy of formation   -0.0222 eV per atom
Final energy   -5.508 eV per atom